Record 1
Below is crystalline SrAl2Si2 at its relaxed geometry, with properties calculated at the PBE level.

Results
V, A^3/atom: 22.77
DOS(E_F), states/eV per atom: 0.2525
Energy relative to the elements, uncorrected, eV/atom: -0.297
Electronic total energy, eV/cell: -21.50

```
data_SrAl2Si2
_cell_length_a 4.2082
_cell_length_b 4.2082
_cell_length_c 7.4243
_cell_angle_alpha 90.00
_cell_angle_beta 90.00
_cell_angle_gamma 120.00
_space_group_name_H-M_alt 'P -3 m 1'
_space_group_IT_number 164
_space_group_name_Hall '-P 3 2"'
loop_
_atom_site_label
_atom_site_fract_x
_atom_site_fract_y
_atom_site_fract_z
Sr1 0.0000 0.0000 0.0000
Al1 0.3333 0.6667 0.3742
Si1 0.3333 0.6667 0.7235
```

Record 2
Below is crystalline YTe2S6 at its relaxed geometry, with properties calculated at the PBE level.

Results
V, A^3/atom: 28.23
Energy relative to the elements, uncorrected, eV/atom: -0.422
Electronic total energy, eV/cell: -82.61

```
data_YTe2S6
_cell_length_a 7.3095
_cell_length_b 7.9389
_cell_length_c 8.9035
_cell_angle_alpha 96.48
_cell_angle_beta 97.79
_cell_angle_gamma 91.58
_space_group_name_H-M_alt 'P -1'
_space_group_IT_number 2
loop_
_space_group_symop_operation_xyz
'x,y,z'
'-x,-y,-z'
loop_
_atom_site_label
_atom_site_fract_x
_atom_site_fract_y
_atom_site_fract_z
Y1 0.1627 0.2921 0.1001
Te1 0.1680 0.1508 0.6055
Te2 0.3790 0.6011 0.7295
S1 0.0432 0.9594 0.1083
S2 0.1097 0.4605 0.8317
S3 0.1670 0.8606 0.4495
S4 0.2517 0.3278 0.4267
S5 0.3882 0.5872 0.2114
S6 0.4924 0.8297 0.9138
```

Which of these has the lowest electronic total energy? YTe2S6

Which value of energy relative to the elements, uncorrected does entry 2 give? -0.422 eV/atom